AlVPO2: optimized geometry, GGA+U.

abc: 3.669 3.669 5.140
angles: 90.00 90.00 90.00
Atoms (fractional coordinates):
Al  0.000  0.000  0.000
V  0.500  0.500  0.500
P  0.500  0.500  0.000
O  0.000  0.500  0.500
O  0.500  0.000  0.500

Calculated values
Crystal system: tetragonal
Energy relative to the lowest polymorph listed for this composition, meV per atom: 0.0
Space-group type: P4/mmm
Size of the total moment, μB per cell: 0.00